{"formula": "LaPtW", "functional": "PBE-GGA", "state": "optimized geometry", "sg": "No. 187", "n_ef_per_ev_atom": 0.958, "total_magnetization_mub_per_cell": 0.000, "formation_enthalpy_0k_mev_per_atom": -87, "lattice": [[4.344, 0.000, 0.000], [-2.172, 3.762, 0.000], [0.000, 0.000, 4.514]], "species": ["La", "Pt", "W"], "frac_coords": [[0.000, 0.000, 0.000], [0.667, 0.333, 0.500], [0.333, 0.667, 0.500]]}

{"formula": "In3Hg5Cl12", "functional": "PBE-GGA", "state": "optimized geometry", "raw_formation_energy_ev_per_fu": -12.05, "sg": "No. 230", "n_ef_per_ev_atom": 0.174, "total_magnetization_mub_per_cell": 0.000, "lattice": [[-8.612, 8.612, 8.612], [8.612, -8.612, 8.612], [8.612, 8.612, -8.612]], "species": ["In", "In", "In", "In", "In", "In", "In", "In", "In", "In", "In", "In", "Hg", "Hg", "Hg", "Hg", "Hg", "Hg", "Hg", "Hg", "Hg", "Hg", "Hg", "Hg", "Hg", "Hg", "Hg", "Hg", "Hg", "Hg", "Hg", "Hg", "Cl", "Cl", "Cl", "Cl", "Cl", "Cl", "Cl", "Cl", "Cl", "Cl", "Cl", "Cl", "Cl", "Cl", "Cl", "Cl", "Cl", "Cl", "Cl", "Cl", "Cl", "Cl", "Cl", "Cl", "Cl", "Cl", "Cl", "Cl", "Cl", "Cl", "Cl", "Cl", "Cl", "Cl", "Cl", "Cl", "Cl", "Cl", "Cl", "Cl", "Cl", "Cl", "Cl", "Cl", "Cl", "Cl", "Cl", "Cl"], "frac_coords": [[0.125, 0.250, 0.375], [0.125, 0.375, 0.750], [0.250, 0.375, 0.125], [0.250, 0.875, 0.625], [0.375, 0.125, 0.250], [0.375, 0.750, 0.125], [0.625, 0.250, 0.875], [0.625, 0.875, 0.750], [0.750, 0.125, 0.375], [0.750, 0.625, 0.875], [0.875, 0.625, 0.250], [0.875, 0.750, 0.625], [0.000, 0.000, 0.000], [0.000, 0.000, 0.500], [0.000, 0.500, 0.000], [0.000, 0.500, 0.500], [0.125, 0.750, 0.875], [0.125, 0.875, 0.250], [0.250, 0.125, 0.875], [0.250, 0.625, 0.375], [0.375, 0.250, 0.625], [0.375, 0.625, 0.750], [0.500, 0.000, 0.000], [0.500, 0.000, 0.500], [0.500, 0.500, 0.000], [0.500, 0.500, 0.500], [0.625, 0.375, 0.250], [0.625, 0.750, 0.375], [0.750, 0.375, 0.625], [0.750, 0.875, 0.125], [0.875, 0.125, 0.750], [0.875, 0.250, 0.125], [0.025, 0.204, 0.118], [0.025, 0.321, 0.907], [0.086, 0.704, 0.679], [0.086, 0.882, 0.407], [0.093, 0.618, 0.414], [0.093, 0.975, 0.679], [0.118, 0.025, 0.204], [0.118, 0.593, 0.914], [0.179, 0.204, 0.586], [0.179, 0.475, 0.593], [0.204, 0.118, 0.025], [0.204, 0.586, 0.179], [0.296, 0.321, 0.914], [0.296, 0.475, 0.382], [0.321, 0.907, 0.025], [0.321, 0.914, 0.296], [0.382, 0.296, 0.475], [0.382, 0.586, 0.907], [0.407, 0.086, 0.882], [0.407, 0.821, 0.525], [0.414, 0.093, 0.618], [0.414, 0.821, 0.796], [0.475, 0.382, 0.296], [0.475, 0.593, 0.179], [0.525, 0.407, 0.821], [0.525, 0.618, 0.704], [0.586, 0.179, 0.204], [0.586, 0.907, 0.382], [0.593, 0.179, 0.475], [0.593, 0.914, 0.118], [0.618, 0.414, 0.093], [0.618, 0.704, 0.525], [0.679, 0.086, 0.704], [0.679, 0.093, 0.975], [0.704, 0.525, 0.618], [0.704, 0.679, 0.086], [0.796, 0.414, 0.821], [0.796, 0.882, 0.975], [0.821, 0.525, 0.407], [0.821, 0.796, 0.414], [0.882, 0.407, 0.086], [0.882, 0.975, 0.796], [0.907, 0.025, 0.321], [0.907, 0.382, 0.586], [0.914, 0.118, 0.593], [0.914, 0.296, 0.321], [0.975, 0.679, 0.093], [0.975, 0.796, 0.882]]}

{"formula": "Pm2NdNpAs4", "functional": "PBE-GGA", "state": "optimized geometry", "sg": "No. 10", "n_ef_per_ev_atom": 1.498, "total_magnetization_mub_per_cell": 3.755, "formation_enthalpy_0k_mev_per_atom": -1301, "lattice": [[7.295, 0.000, 0.000], [0.000, 4.206, 0.000], [-2.413, 0.000, 6.887]], "species": ["Pm", "Pm", "Nd", "Np", "As", "As", "As", "As"], "frac_coords": [[0.000, 0.000, 0.000], [0.000, 0.500, 0.500], [0.500, 0.000, 0.500], [0.500, 0.500, 0.000], [0.253, 0.500, 0.244], [0.257, 0.000, 0.758], [0.743, 0.000, 0.242], [0.747, 0.500, 0.756]]}

{"formula": "NaZn2BrCl", "functional": "PBE-GGA", "state": "optimized geometry", "raw_formation_energy_ev_per_fu": -1.02, "sg": "No. 123", "n_ef_per_ev_atom": 0.337, "total_magnetization_mub_per_cell": 0.000, "lattice": [[5.537, 0.000, 0.000], [0.000, 5.537, 0.000], [0.000, 0.000, 5.621]], "species": ["Na", "Zn", "Zn", "Br", "Cl"], "frac_coords": [[0.000, 0.000, 0.000], [0.000, 0.500, 0.500], [0.500, 0.000, 0.500], [0.000, 0.000, 0.500], [0.500, 0.500, 0.000]]}

{"formula": "Np2Pa2Te7", "functional": "PBE-GGA", "state": "optimized geometry", "raw_formation_energy_ev_per_fu": -6.08, "sg": "No. 115", "n_ef_per_ev_atom": 2.957, "total_magnetization_mub_per_cell": 10.009, "lattice": [[5.230, 0.000, 0.000], [0.000, 5.230, 0.000], [0.000, 0.000, 14.705]], "species": ["Np", "Np", "Pa", "Pa", "Te", "Te", "Te", "Te", "Te", "Te", "Te"], "frac_coords": [[0.000, 0.500, 0.133], [0.500, 0.000, 0.867], [0.000, 0.500, 0.627], [0.500, 0.000, 0.373], [0.000, 0.000, 0.242], [0.000, 0.000, 0.500], [0.000, 0.000, 0.758], [0.500, 0.500, 0.000], [0.500, 0.500, 0.256], [0.500, 0.500, 0.500], [0.500, 0.500, 0.744]]}

{"formula": "Pr8Sm2Er3", "functional": "PBE-GGA", "state": "optimized geometry", "sg": "No. 12", "n_ef_per_ev_atom": 1.405, "total_magnetization_mub_per_cell": 0.001, "formation_enthalpy_0k_mev_per_atom": 194, "lattice": [[10.353, -3.876, 0.000], [10.353, 3.876, 0.000], [-0.001, 0.000, 5.754]], "species": ["Pr", "Pr", "Pr", "Pr", "Pr", "Pr", "Pr", "Pr", "Sm", "Sm", "Er", "Er", "Er"], "frac_coords": [[0.100, 0.692, 0.000], [0.173, 0.173, 0.500], [0.308, 0.900, 0.000], [0.370, 0.370, 0.501], [0.630, 0.630, 0.499], [0.692, 0.100, 0.000], [0.827, 0.827, 0.500], [0.900, 0.308, 0.000], [0.261, 0.261, 0.001], [0.739, 0.739, 0.999], [0.215, 0.785, 0.500], [0.500, 0.500, 0.000], [0.785, 0.215, 0.500]]}

{"formula": "AcPm6PrSm2", "functional": "PBE-GGA", "state": "optimized geometry", "sg": "No. 15", "n_ef_per_ev_atom": 1.497, "total_magnetization_mub_per_cell": 0.000, "formation_enthalpy_0k_mev_per_atom": 119, "lattice": [[4.671, -7.833, 0.000], [4.671, 7.833, 0.000], [-1.105, 0.000, 9.826]], "species": ["Ac", "Ac", "Pm", "Pm", "Pm", "Pm", "Pm", "Pm", "Pm", "Pm", "Pm", "Pm", "Pm", "Pm", "Pr", "Pr", "Sm", "Sm", "Sm", "Sm"], "frac_coords": [[0.026, 0.974, 0.750], [0.974, 0.026, 0.250], [0.023, 0.562, 0.682], [0.123, 0.747, 0.056], [0.253, 0.877, 0.444], [0.292, 0.503, 0.881], [0.438, 0.977, 0.818], [0.497, 0.708, 0.619], [0.503, 0.292, 0.381], [0.562, 0.023, 0.182], [0.708, 0.497, 0.119], [0.747, 0.123, 0.556], [0.877, 0.253, 0.944], [0.977, 0.438, 0.318], [0.408, 0.592, 0.250], [0.592, 0.408, 0.750], [0.194, 0.308, 0.545], [0.308, 0.194, 0.045], [0.692, 0.806, 0.955], [0.806, 0.692, 0.455]]}

{"formula": "LiTb2SnO", "functional": "PBE-GGA", "state": "optimized geometry", "raw_formation_energy_ev_per_fu": -7.74, "sg": "No. 123", "n_ef_per_ev_atom": 0.371, "total_magnetization_mub_per_cell": 0.000, "lattice": [[4.768, 0.000, 0.000], [0.000, 4.768, 0.000], [0.000, 0.000, 4.357]], "species": ["Li", "Tb", "Tb", "Sn", "O"], "frac_coords": [[0.000, 0.000, 0.000], [0.000, 0.500, 0.500], [0.500, 0.000, 0.500], [0.500, 0.500, 0.000], [0.000, 0.000, 0.500]]}

{"formula": "Tb6NdY2Th3", "functional": "PBE-GGA", "state": "optimized geometry", "sg": "No. 12", "n_ef_per_ev_atom": 1.500, "total_magnetization_mub_per_cell": 0.000, "formation_enthalpy_0k_mev_per_atom": 21, "lattice": [[3.103, -5.374, 0.000], [3.103, 5.374, 0.000], [-2.074, 0.000, 11.632]], "species": ["Tb", "Tb", "Tb", "Tb", "Tb", "Tb", "Nd", "Y", "Y", "Th", "Th", "Th"], "frac_coords": [[0.085, 0.418, 0.756], [0.248, 0.248, 0.244], [0.418, 0.085, 0.756], [0.582, 0.915, 0.244], [0.752, 0.752, 0.756], [0.915, 0.582, 0.244], [0.000, 0.000, 0.500], [0.333, 0.667, 0.500], [0.667, 0.333, 0.500], [0.166, 0.834, 0.000], [0.500, 0.500, 0.000], [0.834, 0.166, 0.000]]}

{"formula": "Al2TcW", "functional": "PBE-GGA", "state": "optimized geometry", "sg": "No. 8", "n_ef_per_ev_atom": 0.719, "total_magnetization_mub_per_cell": 0.000, "formation_enthalpy_0k_mev_per_atom": -133, "lattice": [[4.837, -1.603, 0.000], [4.837, 1.603, 0.000], [-1.930, 0.000, 3.883]], "species": ["Al", "Al", "Tc", "W"], "frac_coords": [[0.000, 0.000, 0.000], [0.232, 0.232, 0.733], [0.487, 0.487, 0.487], [0.756, 0.756, 0.256]]}

{"formula": "Sr2CdGe4Au3", "functional": "PBE-GGA", "state": "optimized geometry", "sg": "No. 115", "n_ef_per_ev_atom": 0.425, "total_magnetization_mub_per_cell": 0.000, "formation_enthalpy_0k_mev_per_atom": -466, "lattice": [[4.518, 0.000, 0.000], [0.000, 4.518, 0.000], [0.000, 0.000, 11.105]], "species": ["Sr", "Sr", "Cd", "Ge", "Ge", "Ge", "Ge", "Au", "Au", "Au"], "frac_coords": [[0.000, 0.500, 0.248], [0.500, 0.000, 0.752], [0.000, 0.000, 0.500], [0.000, 0.000, 0.000], [0.000, 0.500, 0.641], [0.500, 0.000, 0.359], [0.500, 0.500, 0.000], [0.000, 0.500, 0.871], [0.500, 0.000, 0.129], [0.500, 0.500, 0.500]]}

{"formula": "Ta4Mo3", "functional": "PBE-GGA", "state": "optimized geometry", "sg": "No. 12", "n_ef_per_ev_atom": 0.794, "total_magnetization_mub_per_cell": 0.000, "formation_enthalpy_0k_mev_per_atom": -141, "lattice": [[4.889, -2.285, 0.000], [4.889, 2.285, 0.000], [-0.402, 0.000, 5.356]], "species": ["Ta", "Ta", "Ta", "Ta", "Mo", "Mo", "Mo"], "frac_coords": [[0.066, 0.066, 0.273], [0.355, 0.355, 0.424], [0.645, 0.645, 0.576], [0.934, 0.934, 0.727], [0.219, 0.219, 0.859], [0.500, 0.500, 0.000], [0.781, 0.781, 0.141]]}